(1)
This record from the Alexandria database describes a geometry-optimized TbTm2Ni structure. The functional is GGA-PBE.

```
4
Lattice="-3.603 -0.242 -1.060 -2.558 -1.453 2.347 -3.560 7.421 3.731" Properties=species:S:1:pos:R:3 pbc="T T T"
Ni -4.112 -1.103 0.869
Tm -3.297 6.027 3.154
Tm -2.320 0.846 1.012
Tb -4.852 2.820 2.491
```

Symmetry   No. 160
Formation energy from the elements   -123 meV per atom
Distance to the lowest polymorph of the same formula   143 meV/atom
Theoretical density   8.57 g cm⁻³
Electronic total energy   -4.96 eV per atom
M_tot   0.000 μB/f.u.


(2)
This record from the Alexandria database describes a geometry-optimized Dy4ErTlS8 structure. The functional is GGA-PBE.

```
14
Lattice="8.215 0.000 0.000 4.108 7.114 0.000 4.108 2.371 6.666" Properties=species:S:1:pos:R:3 pbc="T T T"
Dy 4.108 4.664 3.361
Dy 8.215 4.743 0.840
Dy 6.093 1.225 3.361
Dy 2.122 1.225 3.361
S 5.880 3.395 4.904
S 10.550 3.395 4.904
S 10.399 6.004 1.707
S 6.031 6.004 1.707
S 4.108 2.371 1.990
S 8.215 2.221 1.707
S 8.215 7.440 4.904
S 12.323 7.114 4.851
Tl 8.215 4.743 5.814
Er 4.108 2.371 6.585
```

Symmetry   No. 160
Theoretical density   5.45 g cm⁻³
Formation energy from raw total energies   -2455 kJ/mol of formula units
Electronic total energy   -5.99 eV per atom
M_tot   0.000 μB/f.u.


(3)
This record from the Alexandria database describes a geometry-optimized Zn4SbMo structure. The functional is GGA-PBE.

```
6
Lattice="0.000 3.634 3.634 3.634 0.000 3.634 3.634 3.634 0.000" Properties=species:S:1:pos:R:3 pbc="T T T"
Zn 2.738 4.529 4.529
Zn 2.738 2.738 2.738
Zn 4.529 4.529 2.738
Zn 4.529 2.738 4.529
Mo 5.451 5.451 5.451
Sb 0.000 0.000 0.000
```

Symmetry   No. 216
Theoretical density   8.29 g cm⁻³
Formation energy from raw total energies   141 kJ/mol of formula units
Electronic total energy   -3.10 eV per atom
M_tot   0.000 μB/f.u.


(4)
This record from the Alexandria database describes a geometry-optimized Cs3SrAu structure. The functional is GGA-PBE.

```
5
Lattice="-3.988 -5.130 3.086 5.525 -1.726 4.270 -2.305 4.737 4.897" Properties=species:S:1:pos:R:3 pbc="T T T"
Au 0.000 0.000 0.000
Sr -0.384 -1.059 6.127
Cs -1.994 -2.565 1.543
Cs 2.762 -0.863 2.135
Cs -1.153 2.369 2.449
```

Symmetry   No. 221
Formation energy from the elements   -5 meV per atom
Theoretical density   3.05 g cm⁻³
Electronic total energy   -1.51 eV per atom
M_tot   0.005 μB/f.u.